[1]
A relaxed structure of TaMn5. Source: the Alexandria database, functional PBE.

The calculation puts the formation energy from the elements at 4 kJ/mol of atoms. Its spin magnetization is 1.94 μB per formula unit. As for the crystal system: orthorhombic.

Cell and atoms, written as CIF:
```
data_TaMn5
_chemical_formula_sum 'Ta2 Mn10'
_space_group_name_H-M_alt 'C m m m'
_space_group_IT_number 65
_space_group_name_Hall '-C 2 2'
_cell_length_a 3.7639
_cell_length_b 10.4898
_cell_length_c 3.7395
_cell_angle_alpha 90.00
_cell_angle_beta 90.00
_cell_angle_gamma 90.00
loop_
_atom_site_label
_atom_site_fract_x
_atom_site_fract_y
_atom_site_fract_z
_atom_site_occupancy
Ta1 0.0000 0.0000 0.0000 1
Mn1 0.0000 0.1857 0.5000 1
Mn2 0.0000 0.3134 0.0000 1
Mn3 0.0000 0.5000 0.5000 1
```

[2]
A relaxed structure of Te2AsPb. Source: the Alexandria database, functional PBE.

Its spin magnetization is 0.00 μB per formula unit. As for the crystal system: monoclinic. The value obtained for the formation energy (no corrections) is 27 meV/atom.

Cell and atoms, written as CIF:
```
data_Te2AsPb
_chemical_formula_sum 'Te4 As2 Pb2'
_space_group_name_H-M_alt 'C 1 2/m 1'
_space_group_IT_number 12
_cell_length_a 13.1013
_cell_length_b 4.4334
_cell_length_c 4.4341
_cell_angle_alpha 90.00
_cell_angle_beta 109.66
_cell_angle_gamma 90.00
loop_
_space_group_symop_operation_xyz
'x,y,z'
'-x,-y,-z'
'-x,y,-z'
'x,-y,z'
'x+1/2,y+1/2,z'
'-x+1/2,-y+1/2,-z'
'-x+1/2,y+1/2,-z'
'x+1/2,-y+1/2,z'
loop_
_atom_site_label
_atom_site_fract_x
_atom_site_fract_y
_atom_site_fract_z
_atom_site_occupancy
Te1 0.2380 0.0000 0.2380 1
As1 0.0000 0.0000 0.0000 1
Pb1 0.0000 0.5000 0.5000 1
```

[3]
A relaxed structure of Tb2Te3H. Source: the Alexandria database, functional PBE.

Its spin magnetization is 0.00 μB per formula unit. As for the crystal system: monoclinic. For the energy, the calculation gives -27.4 eV/f.u.

Cell and atoms, written as CIF:
```
data_Tb2Te3H
_chemical_formula_sum 'Tb8 Te12 H4'
_space_group_name_H-M_alt 'C 1 2/m 1'
_space_group_IT_number 12
_cell_length_a 16.1011
_cell_length_b 4.6602
_cell_length_c 10.8549
_cell_angle_alpha 90.00
_cell_angle_beta 115.47
_cell_angle_gamma 90.00
loop_
_space_group_symop_operation_xyz
'x,y,z'
'-x,-y,-z'
'-x,y,-z'
'x,-y,z'
'x+1/2,y+1/2,z'
'-x+1/2,-y+1/2,-z'
'-x+1/2,y+1/2,-z'
'x+1/2,-y+1/2,z'
loop_
_atom_site_label
_atom_site_fract_x
_atom_site_fract_y
_atom_site_fract_z
_atom_site_occupancy
Tb1 0.0969 0.0000 0.4501 1
Tb2 0.1458 0.5000 0.8305 1
Te1 0.0596 0.5000 0.2514 1
Te2 0.1409 0.0000 0.0027 1
Te3 0.2227 0.5000 0.6203 1
H1 0.0554 0.0000 0.6214 1
```